No. 1
RbEuGeS4 after structural relaxation. Source: the Alexandria database, functional PBE.

Structure (CIF):
```
data_RbEuGeS4
_space_group_name_H-M_alt 'P 1'
_space_group_IT_number 1
_space_group_name_Hall 'P 1'
_cell_length_a 6.6849
_cell_length_b 6.7862
_cell_length_c 9.2125
_cell_angle_alpha 72.41
_cell_angle_beta 90.00
_cell_angle_gamma 90.00
loop_
_atom_site_label
_atom_site_type_symbol
_atom_site_fract_x
_atom_site_fract_y
_atom_site_fract_z
S1 S 0.3192 0.0744 0.0637
S2 S 0.5032 0.5192 0.7814
S3 S 0.7642 0.9181 0.3275
S4 S 0.9932 0.4764 0.7993
S5 S 0.4932 0.5236 0.2007
S6 S 0.2642 0.0819 0.6725
S7 S 0.0032 0.4808 0.2186
S8 S 0.8192 0.9256 0.9363
Ge1 Ge 0.7652 0.7243 0.1739
Ge2 Ge 0.2652 0.2757 0.8261
Eu1 Eu 0.2230 0.7318 0.9456
Eu2 Eu 0.7230 0.2682 0.0544
Rb1 Rb 0.7551 0.2288 0.5642
Rb2 Rb 0.2551 0.7712 0.4358
```

Values from the calculation:
As for the space group: P2_1, No. 4. Its crystal system is monoclinic.

***

No. 2
RbScSi after structural relaxation. Source: the Alexandria database, functional PBE.

Structure (CIF):
```
data_RbScSi
_space_group_name_H-M_alt 'P 1'
_space_group_IT_number 1
_space_group_name_Hall 'P 1'
_cell_length_a 8.0240
_cell_length_b 4.8077
_cell_length_c 12.2090
_cell_angle_alpha 90.00
_cell_angle_beta 90.00
_cell_angle_gamma 90.00
loop_
_atom_site_label
_atom_site_type_symbol
_atom_site_fract_x
_atom_site_fract_y
_atom_site_fract_z
Si1 Si 0.8227 0.2500 0.0769
Si2 Si 0.3227 0.2500 0.4231
Si3 Si 0.6773 0.7500 0.5769
Si4 Si 0.1773 0.7500 0.9231
Rb1 Rb 0.6140 0.7500 0.8745
Rb2 Rb 0.1140 0.7500 0.6255
Rb3 Rb 0.3860 0.2500 0.1255
Rb4 Rb 0.8860 0.2500 0.3745
Sc1 Sc 0.0373 0.2500 0.9121
Sc2 Sc 0.4627 0.7500 0.4121
Sc3 Sc 0.9627 0.7500 0.0879
Sc4 Sc 0.5373 0.2500 0.5879
```

Values from the calculation:
As for the space group: Pnma, No. 62. As for the relative energy among the computed polymorphs: 0.358 eV/atom. Its crystal system is orthorhombic.

***

No. 3
RbZnReN2 after structural relaxation. Source: the Alexandria database, functional PBE.

Structure (CIF):
```
data_RbZnReN2
_space_group_name_H-M_alt 'P 1'
_space_group_IT_number 1
_space_group_name_Hall 'P 1'
_cell_length_a 4.3273
_cell_length_b 4.9138
_cell_length_c 4.3273
_cell_angle_alpha 90.00
_cell_angle_beta 90.00
_cell_angle_gamma 90.00
loop_
_atom_site_label
_atom_site_type_symbol
_atom_site_fract_x
_atom_site_fract_y
_atom_site_fract_z
Re1 Re 0.0000 0.5000 0.0000
N1 N 0.0000 0.0000 0.5000
N2 N 0.5000 0.0000 0.0000
Zn1 Zn 0.0000 0.0000 0.0000
Rb1 Rb 0.5000 0.5000 0.5000
```

Values from the calculation:
As for the space group: P4/mmm, No. 123. Its crystal system is tetragonal.

***

DFT total energy, record by record: -5.717, -4.136, -3.792 eV/atom